Entry from Alexandria: YMoIO4 after structural relaxation (PBE with a Hubbard U).

## Properties
The crystal system is monoclinic. The space-group type is C2/m (12). As for the total energy: -0.2590 Ha/atom. The value obtained for the volume is 19.376 A^3/atom.

a = 6.548 Å, b = 6.548 Å, c = 7.140 Å
α = 76.44°, β = 76.44°, γ = 67.45°
Positions (direct):
O (0.498, 0.115, 0.150)
O (0.464, 0.464, 0.800)
O (0.303, 0.303, 0.524)
O (0.697, 0.697, 0.476)
O (0.502, 0.885, 0.850)
O (0.536, 0.536, 0.200)
O (0.115, 0.498, 0.150)
O (0.885, 0.502, 0.850)
Y (0.756, 0.756, 0.134)
Y (0.244, 0.244, 0.866)
I (0.018, 0.018, 0.247)
I (0.982, 0.982, 0.753)
Mo (0.635, 0.635, 0.736)
Mo (0.365, 0.365, 0.264)